Entry from the Open Quantum Materials Database: an optimized crystal structure of Dy3Cd3InAg2 (PBE-GGA).

Cell lengths 7.934, 7.934, 3.930 Å; angles 90.00, 90.00, 120.00 degrees
Element x y z (fractional)
Ag (0.667, 0.333, 0.000)
Ag (0.333, 0.667, 0.000)
Cd (0.726, 0.000, 0.000)
Cd (0.274, 0.274, 0.000)
Cd (0.000, 0.726, 0.000)
Dy (0.407, 0.000, 0.500)
Dy (0.000, 0.407, 0.500)
Dy (0.593, 0.593, 0.500)
In (0.000, 0.000, 0.500)

Values from the calculation:
The space group is P-62m. Its total energy is -0.114 hartree per atom. The calculation puts the total magnetization at 0.02 μB/cell.